Record 1
Entry from Alexandria via LeMat-Bulk: a relaxed structure of BWCl2 (PBE-GGA).

Computed properties:
Energy relative to the elements, uncorrected = 4.280 eV/f.u.

Unit cell a=9.166 b=9.166 c=9.166 alpha=19.09 beta=19.09 gamma=19.09
Element x y z (fractional)
W (0.500, 0.500, 0.500)
Cl (0.101, 0.101, 0.101)
Cl (0.899, 0.899, 0.899)
B (0.000, 0.000, 0.000)



Record 2
Entry from Alexandria via LeMat-Bulk: a relaxed structure of PmTlSn2Br8 (PBE-GGA).

Computed properties:
Energy relative to the elements, uncorrected = -13.567 eV/f.u.

Unit cell a=7.289 b=6.907 c=9.140 alpha=89.90 beta=89.86 gamma=88.98
Element x y z (fractional)
Br (0.634, 0.725, 0.499)
Br (0.366, 0.275, 0.501)
Br (0.839, 0.245, 0.777)
Br (0.161, 0.755, 0.223)
Br (0.323, 0.244, 0.999)
Br (0.839, 0.245, 0.223)
Br (0.677, 0.756, 0.001)
Br (0.161, 0.755, 0.777)
Pm (0.000, 0.000, 0.000)
Sn (0.500, 0.500, 0.254)
Sn (0.500, 0.500, 0.746)
Tl (0.000, 0.000, 0.500)



Record 3
Entry from Alexandria via LeMat-Bulk: a relaxed structure of AgSn3Pb (PBE-GGA).

Computed properties:
Energy of formation = 0.895 eV/atom

Unit cell a=5.783 b=5.783 c=5.783 alpha=90.00 beta=90.00 gamma=90.00
Element x y z (fractional)
Ag (0.500, 0.500, 0.500)
Sn (0.500, 0.000, 0.000)
Sn (0.000, 0.000, 0.500)
Sn (0.000, 0.500, 0.000)
Pb (0.000, 0.000, 0.000)



Record 4
Entry from Alexandria via LeMat-Bulk: a relaxed structure of KGaBrCl2 (PBE-GGA).

Computed properties:
Energy relative to the elements, uncorrected = -1.901 eV/f.u.

Unit cell a=5.597 b=10.023 c=5.597 alpha=90.00 beta=90.00 gamma=90.00
Last column: magnetic moment on the atom in μB.
Element x y z (fractional)
Cl (0.000, 0.000, 0.500)  0.31
Cl (0.500, 0.000, 0.000)  0.31
K (0.000, 0.000, 0.000)  0.00
Ga (0.000, 0.500, 0.000)  0.00
Br (0.500, 0.500, 0.500)  0.11



Record 5
Entry from Alexandria via LeMat-Bulk: a relaxed structure of Ir3OsRu4 (PBE-GGA).

Computed properties:
Energy of formation = 1.080 eV/atom

Unit cell a=6.447 b=6.702 c=7.764 alpha=90.00 beta=90.00 gamma=90.00
Element x y z (fractional)
Ru (0.636, 0.187, 0.000)
Ru (0.136, 0.813, 0.500)
Ru (0.146, 0.834, 0.000)
Ru (0.615, 0.662, 0.748)
Ru (0.615, 0.662, 0.252)
Ru (0.115, 0.338, 0.752)
Ru (0.646, 0.166, 0.500)
Ru (0.115, 0.338, 0.248)
Ir (0.520, 0.850, 0.000)
Ir (0.988, 0.675, 0.757)
Ir (0.020, 0.150, 0.500)
Ir (0.488, 0.325, 0.743)
Ir (0.988, 0.675, 0.243)
Ir (0.488, 0.325, 0.257)
Os (0.506, 0.838, 0.500)
Os (0.006, 0.162, 0.000)



Record 6
Entry from Alexandria via LeMat-Bulk: a relaxed structure of NaCa2 (PBE-GGA).

Computed properties:
Energy of formation = 0.048 eV/atom

Unit cell a=3.967 b=3.967 c=8.099 alpha=104.18 beta=104.18 gamma=90.00
Element x y z (fractional)
Ca (0.662, 0.662, 0.324)
Ca (0.338, 0.338, 0.676)
Na (0.000, 0.000, 0.000)



Record 7
Entry from Alexandria via LeMat-Bulk: a relaxed structure of In2IrO (PBE-GGA).

Computed properties:
Energy relative to the elements, uncorrected = -1.296 eV/f.u.

Unit cell a=6.411 b=6.411 c=5.698 alpha=55.77 beta=55.77 gamma=90.00
Element x y z (fractional)
Ir (0.750, 0.250, 0.500)
Ir (0.000, 0.000, 0.000)
O (0.250, 0.750, 0.500)
O (0.500, 0.500, 0.000)
In (0.568, 0.125, 0.250)
In (0.875, 0.818, 0.750)
In (0.375, 0.432, 0.750)
In (0.182, 0.625, 0.250)



Record 8
Entry from Alexandria via LeMat-Bulk: a relaxed structure of NaPa3Se4 (PBE-GGA).

Computed properties:
Energy relative to the elements, uncorrected = -9.705 eV/f.u.

Unit cell a=5.752 b=5.752 c=7.064 alpha=114.03 beta=114.03 gamma=90.00
Element x y z (fractional)
Pa (0.250, 0.750, 0.500)
Pa (0.750, 0.250, 0.500)
Pa (0.500, 0.500, 0.000)
Se (0.000, 0.500, 0.000)
Se (0.500, 0.000, 0.000)
Se (0.247, 0.247, 0.494)
Se (0.753, 0.753, 0.506)
Na (0.000, 0.000, 0.000)



Record 9
Entry from Alexandria via LeMat-Bulk: a relaxed structure of AcBiTeRh (PBE-GGA).

Computed properties:
Energy relative to the elements, uncorrected = -2.999 eV/f.u.

Unit cell a=4.840 b=4.840 c=9.743 alpha=90.00 beta=90.00 gamma=90.00
Element x y z (fractional)
Bi (0.000, 0.500, 0.858)
Bi (0.500, 0.000, 0.142)
Ac (0.000, 0.500, 0.248)
Ac (0.500, 0.000, 0.752)
Rh (0.500, 0.500, 0.000)
Rh (0.000, 0.000, 0.000)
Te (0.000, 0.000, 0.500)
Te (0.500, 0.500, 0.500)



Record 10
Entry from Alexandria via LeMat-Bulk: a relaxed structure of MgAs2Ru (PBE-GGA).

Computed properties:
Energy of formation = -0.195 eV/atom

Unit cell a=6.838 b=6.838 c=6.838 alpha=154.41 beta=148.62 gamma=40.92
Element x y z (fractional)
Mg (0.446, 0.446, 0.000)
As (0.786, 0.286, 0.500)
As (0.056, 0.056, 0.000)
Ru (0.212, 0.712, 0.500)



Record 11
Entry from Alexandria via LeMat-Bulk: a relaxed structure of KIrW2 (PBE-GGA).

Computed properties:
Energy of formation = 1.335 eV/atom

Unit cell a=5.430 b=5.595 c=2.719 alpha=81.49 beta=78.70 gamma=115.95
Element x y z (fractional)
W (0.000, 0.000, 0.000)
W (0.500, 0.000, 0.500)
Ir (0.000, 0.500, 0.500)
K (0.500, 0.500, 0.000)



Record 12
Entry from Alexandria via LeMat-Bulk: a relaxed structure of Nd4Al (PBE-GGA).

Computed properties:
Energy of formation = 0.064 eV/atom

Unit cell a=7.709 b=7.709 c=7.709 alpha=105.45 beta=105.45 gamma=117.85
Element x y z (fractional)
Nd (0.160, 0.972, 0.812)
Nd (0.590, 0.902, 0.312)
Nd (0.722, 0.410, 0.312)
Nd (0.590, 0.278, 0.688)
Nd (0.160, 0.348, 0.188)
Nd (0.028, 0.840, 0.188)
Nd (0.098, 0.410, 0.688)
Nd (0.652, 0.840, 0.812)
Al (0.500, 0.500, 0.000)
Al (0.250, 0.750, 0.500)



Record 13
Entry from Alexandria via LeMat-Bulk: a relaxed structure of Pa3NiPt2 (PBE-GGA).

Computed properties:
Energy of formation = -0.647 eV/atom

Unit cell a=6.134 b=6.822 c=6.994 alpha=105.23 beta=116.01 gamma=90.00
Element x y z (fractional)
Pt (0.541, 0.514, 0.319)
Pt (0.779, 0.014, 0.319)
Pt (0.221, 0.986, 0.681)
Pt (0.459, 0.486, 0.681)
Pa (0.726, 0.895, 0.677)
Pa (0.951, 0.395, 0.677)
Pa (0.359, 0.750, 0.000)
Pa (0.641, 0.250, 0.000)
Pa (0.274, 0.105, 0.323)
Pa (0.049, 0.605, 0.323)
Ni (0.136, 0.250, 0.000)
Ni (0.864, 0.750, 0.000)



Record 14
Entry from Alexandria via LeMat-Bulk: a relaxed structure of MgTi2C (PBE-GGA).

Computed properties:
Energy of formation = 0.211 eV/atom

Unit cell a=6.750 b=6.750 c=5.507 alpha=52.20 beta=52.20 gamma=90.00
Last column: magnetic moment on the atom in μB.
Element x y z (fractional)
Ti (0.527, 0.125, 0.250)  0.36
Ti (0.375, 0.473, 0.750)  0.34
Ti (0.223, 0.625, 0.250)  0.34
Ti (0.875, 0.777, 0.750)  0.33
C (0.250, 0.750, 0.500)  -0.02
C (0.500, 0.500, 0.000)  -0.02
Mg (0.000, 0.000, 0.000)  0.00
Mg (0.750, 0.250, 0.500)  0.00



Record 15
Entry from Alexandria via LeMat-Bulk: a relaxed structure of Pr6Dy2Tm5 (PBE-GGA).

Computed properties:
Energy of formation = 0.108 eV/atom

Unit cell a=3.630 b=11.724 c=20.587 alpha=90.00 beta=90.00 gamma=90.00
Element x y z (fractional)
Tm (0.500, 0.905, 0.774)
Tm (0.500, 0.500, 0.000)
Tm (0.500, 0.699, 0.556)
Tm (0.500, 0.595, 0.274)
Tm (0.500, 0.405, 0.726)
Tm (0.500, 0.199, 0.944)
Tm (0.500, 0.301, 0.444)
Tm (0.500, 0.095, 0.226)
Tm (0.500, 0.000, 0.500)
Tm (0.500, 0.801, 0.056)
Pr (0.500, 0.328, 0.133)
Pr (0.500, 0.672, 0.867)
Pr (0.000, 0.559, 0.420)
Pr (0.000, 0.441, 0.580)
Pr (0.500, 0.172, 0.633)
Pr (0.000, 0.084, 0.367)
Pr (0.000, 0.584, 0.133)
Pr (0.000, 0.059, 0.080)
Pr (0.000, 0.941, 0.920)
Pr (0.500, 0.828, 0.367)
Pr (0.000, 0.916, 0.633)
Pr (0.000, 0.416, 0.867)
Dy (0.000, 0.663, 0.711)
Dy (0.000, 0.163, 0.789)
Dy (0.000, 0.337, 0.289)
Dy (0.000, 0.837, 0.211)



Record 16
Entry from Alexandria via LeMat-Bulk: a relaxed structure of CeHoI (PBE-GGA).

Computed properties:
Energy relative to the elements, uncorrected = -0.433 eV/f.u.

Unit cell a=3.716 b=5.375 c=5.375 alpha=120.00 beta=90.00 gamma=90.00
Last column: magnetic moment on the atom in μB.
Element x y z (fractional)
I (0.499, 0.333, 0.667)  0.01
Ce (0.000, 0.000, 0.000)  1.04
Ho (0.500, 0.667, 0.333)  0.30



Record 17
Entry from Alexandria via LeMat-Bulk: a relaxed structure of CaMg2F6 (PBE-GGA).

Computed properties:
Energy relative to the elements, uncorrected = -32.931 eV/f.u.

Unit cell a=3.863 b=5.407 c=6.778 alpha=70.28 beta=73.44 gamma=69.07
Element x y z (fractional)
Mg (0.173, 0.752, 0.902)
Mg (0.827, 0.248, 0.098)
F (0.708, 0.664, 0.921)
F (0.984, 0.842, 0.191)
F (0.292, 0.336, 0.079)
F (0.651, 0.312, 0.385)
F (0.016, 0.158, 0.809)
F (0.349, 0.688, 0.615)
Ca (0.000, 0.500, 0.500)



Record 18
Entry from Alexandria via LeMat-Bulk: a relaxed structure of Ca2Tb3Te6 (PBE-GGA).

Computed properties:
Energy relative to the elements, uncorrected = -16.499 eV/f.u.

Unit cell a=7.599 b=7.596 c=7.780 alpha=80.60 beta=70.93 gamma=59.99
Element x y z (fractional)
Te (0.585, 0.330, 0.246)
Te (0.255, 0.000, 0.245)
Te (0.915, 0.670, 0.246)
Te (0.745, 0.000, 0.755)
Te (0.085, 0.330, 0.754)
Te (0.415, 0.670, 0.754)
Tb (0.332, 0.335, 0.000)
Tb (0.000, 0.000, 0.000)
Tb (0.668, 0.665, 0.000)
Ca (0.166, 0.667, 0.500)
Ca (0.834, 0.333, 0.500)



Record 19
Entry from Alexandria via LeMat-Bulk: a relaxed structure of Li2SiAgO4 (PBE-GGA).

Computed properties:
Energy relative to the elements, uncorrected = -14.817 eV/f.u.

Unit cell a=5.277 b=5.277 c=5.277 alpha=126.90 beta=126.90 gamma=78.41
Element x y z (fractional)
Li (0.750, 0.250, 0.500)
Li (0.250, 0.750, 0.500)
O (0.681, 0.681, 0.602)
O (0.079, 0.079, 0.398)
O (0.921, 0.319, 0.000)
O (0.319, 0.921, 0.000)
Ag (0.500, 0.500, 0.000)
Si (0.000, 0.000, 0.000)



Record 20
Entry from Alexandria via LeMat-Bulk: a relaxed structure of PSe2 (PBE-GGA).

Computed properties:
Energy relative to the elements, uncorrected = 0.335 eV/f.u.

Unit cell a=5.419 b=5.419 c=10.117 alpha=81.03 beta=81.03 gamma=36.07
Element x y z (fractional)
Se (0.604, 0.604, 0.450)
Se (0.333, 0.333, 0.144)
Se (0.396, 0.396, 0.550)
Se (0.667, 0.667, 0.856)
P (0.991, 0.991, 0.112)
P (0.009, 0.009, 0.888)